No. 1
A plane-wave DFT calculation with PBE-GGA was carried out for a relaxed structure of Na3CoB.

a b c (Å): 5.044 5.044 5.044
angles (deg): 90.00 90.00 90.00
Last column: magnetic moment on the atom in μB.
Element x y z (fractional)
1 B 0.000 0.000 0.000  -0.31
2 Na 0.500 0.000 0.000  -0.01
3 Na 0.000 0.500 0.000  -0.01
4 Co 0.500 0.500 0.500  2.13
5 Na 0.000 0.000 0.500  -0.03

N(E_F): 1.951 states/eV per atom

No. 2
A plane-wave DFT calculation with PBE-GGA was carried out for a relaxed structure of Na2CoB2.

a b c (Å): 3.402 3.402 6.142
angles (deg): 73.92 73.92 90.00
Last column: magnetic moment on the atom in μB.
Element x y z (fractional)
1 Na 0.250 0.750 0.500  -0.01
2 Na 0.750 0.250 0.500  -0.01
3 B 0.430 0.430 0.141  0.02
4 Co 0.000 0.000 0.000  1.69
5 B 0.570 0.570 0.859  0.02

N(E_F): 0.621 states/eV per atom

Uncorrected energy per entry: -2.20 -3.58 eV per atom
Formation energy from the elements per entry: 1.347 1.040 eV per atom